No. 1
The following is a PBE calculation of CoHgSb2 after structural relaxation, from the Alexandria database.

Geometry as extended XYZ:
```
4
Lattice="-2.3199 -0.9698 -2.1532 4.1775 -0.2721 -4.3784 3.4954 -4.6560 -1.6690" Properties=species:S:1:pos:R:3 pbc="T T T"
Sb 3.2551 -2.0908 -2.5654
Hg 4.5948 -4.1809 -5.6121
Sb 0.5814 -0.3732 -0.4583
Co 0.7583 -1.7169 -2.5884
```

## Properties
magnetic moment = 0.0 μB/cell
E_tot = -3.854 eV/atom
Fermi-level density of states = 0.6631 states/eV per atom
E_form (uncorrected) = 0.059 eV/atom

=====

No. 2
The following is a PBE calculation of Tl3SbF after structural relaxation, from the Alexandria database.

Geometry as extended XYZ:
```
10
Lattice="-2.8434 -1.8694 -4.5491 -4.0821 -0.6580 6.1560 -2.7402 6.8165 -1.0885" Properties=species:S:1:pos:R:3 pbc="T T T"
Tl -4.4578 1.5880 -3.1453
Tl -5.2079 2.7012 3.6638
Sb -7.2765 3.3192 1.0984
Tl -6.4671 5.8336 3.1636
Tl -4.6865 4.0934 -0.5736
Tl -4.9792 0.1958 1.0921
F -6.5912 2.9724 -2.7989
Sb -2.3891 0.9700 -0.5799
F -3.0744 1.3168 3.3174
Tl -3.1986 -1.5444 -2.6451
```

## Properties
relative energy among the computed polymorphs = 0.0 kJ/mol of atoms
magnetic moment = 0.0 μB/cell
E_tot = -3.222 eV/atom
Fermi-level density of states = 0.3850 states/eV per atom
E_form (uncorrected) = -0.603 eV/atom

=====

No. 3
The following is a PBE calculation of Ca2AcCuO4 after structural relaxation, from the Alexandria database.

Geometry as extended XYZ:
```
16
Lattice="-0.9341 -0.7915 3.2724 5.5893 -1.9761 -0.7478 4.1359 10.3083 3.6737" Properties=species:S:1:pos:R:3 pbc="T T T"
O 0.0000 0.0000 0.0000
Ca 2.7046 3.6094 3.5102
Ca 1.0684 -0.4688 2.0568
O 1.0818 1.9430 2.6439
Ac 4.5345 0.3442 3.2428
Ca 6.0865 3.9314 2.6882
Ca 7.7228 8.0096 4.1416
Cu 2.6004 1.8518 1.1901
O 7.7094 5.5978 3.5544
O 4.4040 4.9460 4.3185
Cu 6.1907 5.6891 5.0082
O 2.0680 5.1542 1.8369
Ac 4.2566 7.1966 2.9556
O 5.4667 7.5946 5.2625
O 3.3245 -0.0538 0.9359
O 4.3871 2.5948 1.8798
```

## Properties
magnetic moment = 0.0 μB/cell
E_tot = -6.492 eV/atom
Fermi-level density of states = 0.0000 states/eV per atom
E_form (uncorrected) = -2.487 eV/atom

=====

No. 4
The following is a PBE calculation of Pr4ErCd5 after structural relaxation, from the Alexandria database.

Geometry as extended XYZ:
```
10
Lattice="-2.5344 -0.6506 2.7952 2.2218 -2.8052 1.3616 9.2284 12.8185 11.3506" Properties=species:S:1:pos:R:3 pbc="T T T"
Cd 4.4579 4.6814 7.7537
Cd 2.5825 2.0763 5.4470
Cd 8.2496 9.9481 12.4173
Pr 7.4390 10.3329 9.1497
Pr 1.7894 2.4856 2.2010
Pr 3.6718 5.1002 4.5162
Er 0.0000 0.0000 0.0000
Cd 0.6663 -0.5853 3.0901
Pr 5.5566 7.7183 6.8345
Cd 6.3334 7.2864 10.0604
```

## Properties
magnetic moment = 1.7 μB/cell
E_tot = -3.139 eV/atom
Fermi-level density of states = 1.1660 states/eV per atom
E_form = -0.313 eV/atom

=====

No. 5
The following is a PBE calculation of Ta2PCl after structural relaxation, from the Alexandria database.

Geometry as extended XYZ:
```
4
Lattice="4.2163 0.0018 0.0655 2.8200 3.1344 0.0655 2.9641 1.3211 6.3213" Properties=species:S:1:pos:R:3 pbc="T T T"
P 7.5003 3.3430 4.8392
Cl 2.5001 1.1143 1.6131
Ta 9.6189 4.2873 5.8319
Ta 5.3817 2.3987 3.8466
```

## Properties
relative energy among the computed polymorphs = 15.9 kJ/mol of atoms
magnetic moment = 0.0 μB/cell
E_tot = -7.896 eV/atom
Fermi-level density of states = 0.4189 states/eV per atom
E_form (uncorrected) = -0.156 eV/atom

=====

No. 6
The following is a PBE calculation of Ac2PrHoSe5 after structural relaxation, from the Alexandria database.

Geometry as extended XYZ:
```
9
Lattice="-4.6606 -1.6666 1.3543 2.0472 -2.4713 4.0043 -1.4057 9.0573 6.3084" Properties=species:S:1:pos:R:3 pbc="T T T"
Ac -1.7121 0.5435 4.4988
Se 0.3208 3.2930 5.1564
Se -3.0332 3.6954 3.8313
Se -1.0537 6.7893 4.7288
Pr 0.0000 0.0000 0.0000
Ho -0.7028 4.5286 3.1542
Se -1.3067 -2.0689 2.6793
Ac -2.3069 4.3760 7.1682
Se -0.3520 2.2680 1.5797
```

## Properties
magnetic moment = 0.0 μB/cell
E_tot = -5.397 eV/atom
Fermi-level density of states = 0.5911 states/eV per atom
E_form (uncorrected) = -1.509 eV/atom

=====

No. 7
The following is a PBE calculation of Ca3AgSn12 after structural relaxation, from the Alexandria database.

Geometry as extended XYZ:
```
16
Lattice="-1.5040 0.5461 4.4419 -3.8279 -2.5847 -0.9784 9.4149 -15.8892 5.1411" Properties=species:S:1:pos:R:3 pbc="T T T"
Sn 3.9753 -11.2315 2.7267
Sn -0.3492 -4.9293 2.9969
Sn 2.0415 -8.9639 4.3023
Sn 5.1373 -9.6661 5.4369
Sn 0.3614 -1.6060 2.8289
Sn 4.4321 -12.9985 5.6078
Ca 2.3718 -4.0028 1.2951
Sn 1.6116 -7.2424 1.4360
Sn -0.8006 -3.1714 0.1188
Ca 7.0431 -11.8864 3.8459
Ca 4.7074 -7.9446 2.5705
Sn 2.7736 -5.6770 4.1462
Ag 0.0000 0.0000 0.0000
Sn 6.3875 -15.3025 4.0439
Sn -2.6660 -1.0193 1.7318
Sn 7.5495 -13.7371 6.7541
```

## Properties
magnetic moment = 0.0 μB/cell
E_tot = -3.798 eV/atom
Fermi-level density of states = 0.6008 states/eV per atom
E_form = -0.243 eV/atom

=====

No. 8
The following is a PBE calculation of TlCoGe after structural relaxation, from the Alexandria database.

Geometry as extended XYZ:
```
6
Lattice="-1.4170 3.3502 1.3445 -3.4625 -0.8528 -1.5243 -2.2985 -3.9558 7.4343" Properties=species:S:1:pos:R:3 pbc="T T T"
Tl -3.6395 -3.7106 5.4100
Tl -1.0988 1.0035 1.9345
Ge -2.5434 -1.8242 1.8648
Ge -2.1949 -0.8830 5.4797
Co -1.1493 -1.9779 3.7172
Co -3.5890 -0.7292 3.6273
```

## Properties
magnetic moment = 0.0 μB/cell
E_tot = -4.662 eV/atom
Fermi-level density of states = 0.2915 states/eV per atom
E_form = 0.034 eV/atom

=====

No. 9
The following is a PBE calculation of Ce5In after structural relaxation, from the Alexandria database.

Geometry as extended XYZ:
```
6
Lattice="-0.7376 -1.2517 5.3414 5.3826 -2.0140 0.2713 -1.0352 5.6094 1.1715" Properties=species:S:1:pos:R:3 pbc="T T T"
Ce -0.3688 -0.6258 2.6707
Ce 0.6867 2.3074 3.5038
Ce 3.8797 2.2954 1.0736
In 2.6913 -1.0070 0.1357
Ce 0.4678 1.3000 0.3692
Ce 2.9232 0.0363 3.2804
```

## Properties
relative energy among the computed polymorphs = 1.7 kJ/mol of atoms
magnetic moment = 1.7 μB/cell
E_tot = -5.453 eV/atom
Fermi-level density of states = 3.1643 states/eV per atom
E_form = -0.052 eV/atom

=====

No. 10
The following is a PBE calculation of CsCd2BiRu after structural relaxation, from the Alexandria database.

Geometry as extended XYZ:
```
5
Lattice="5.4779 0.0000 0.0000 0.0000 5.4779 0.0000 0.0000 0.0000 5.1875" Properties=species:S:1:pos:R:3 pbc="T T T"
Ru 0.0000 0.0000 0.0000
Bi 0.0000 0.0000 2.5938
Cd 2.7390 0.0000 0.0000
Cs 2.7390 2.7390 2.5938
Cd 0.0000 2.7390 0.0000
```

## Properties
magnetic moment = 0.0 μB/cell
E_tot = -3.115 eV/atom
Fermi-level density of states = 0.5330 states/eV per atom
E_form = 0.054 eV/atom

=====

No. 11
The following is a PBE calculation of Al2GaSb2 after structural relaxation, from the Alexandria database.

Geometry as extended XYZ:
```
5
Lattice="-3.7868 1.6238 -0.5768 -1.7116 -3.7057 0.8049 -3.1002 0.6647 7.2204" Properties=species:S:1:pos:R:3 pbc="T T T"
Ga 0.0000 0.0000 0.0000
Sb -5.7648 -0.7874 5.6214
Al -4.8181 0.6238 3.3789
Sb -2.8338 -0.6298 1.8272
Al -3.7805 -2.0410 4.0697
```

## Properties
relative energy among the computed polymorphs = 0.0 kJ/mol of atoms
magnetic moment = 0.0 μB/cell
E_tot = -3.650 eV/atom
Fermi-level density of states = 0.3216 states/eV per atom
E_form (uncorrected) = 0.101 eV/atom

=====

No. 12
The following is a PBE calculation of ZrNiAg after structural relaxation, from the Alexandria database.

Geometry as extended XYZ:
```
6
Lattice="-0.1462 -4.7739 0.9385 1.3325 -2.7958 -1.4786 8.3847 -2.0402 3.4548" Properties=species:S:1:pos:R:3 pbc="T T T"
Ni 4.4329 -4.1612 0.9057
Zr 3.4148 -6.6487 0.7147
Ag 2.1044 -4.4096 -0.7217
Ni 5.5343 -6.4206 2.2037
Zr 6.5520 -3.9323 2.3930
Ag 7.8626 -6.1714 3.8284
```

## Properties
relative energy among the computed polymorphs = 0.0 kJ/mol of atoms
magnetic moment = 0.0 μB/cell
E_tot = -5.975 eV/atom
Fermi-level density of states = 0.4285 states/eV per atom
E_form = -0.248 eV/atom